Density functional theory data (SCAN) for Zr2ZnP at its PBEsol-relaxed geometry.

Cell lengths 4.649, 4.649, 3.244 Å; angles 93.46, 93.46, 101.74 degrees
Fractional positions:
Zr (0.000, 0.500, 0.000)
Zr (0.500, 0.000, 0.000)
Zn (0.000, 0.000, 0.500)
P (0.500, 0.500, 0.500)

Results
Symmetry   C2/m (12)
Raw total energy   -87.80 eV/cell
Energy of formation   -0.62 eV/atom

=====

Density functional theory data (SCAN) for VAsO5 at its PBEsol-relaxed geometry.

Cell lengths 7.664, 6.369, 7.452 Å; angles 90.00, 90.00, 90.00 degrees
Fractional positions:
V (0.169, 0.250, 0.239)
V (0.331, 0.750, 0.739)
V (0.669, 0.250, 0.261)
V (0.831, 0.750, 0.761)
As (0.121, 0.750, 0.116)
As (0.379, 0.250, 0.616)
As (0.621, 0.750, 0.384)
As (0.879, 0.250, 0.884)
O (0.068, 0.250, 0.004)
O (0.121, 0.540, 0.256)
O (0.121, 0.960, 0.256)
O (0.131, 0.750, 0.681)
O (0.193, 0.250, 0.485)
O (0.307, 0.750, 0.985)
O (0.369, 0.250, 0.181)
O (0.379, 0.040, 0.756)
O (0.379, 0.460, 0.756)
O (0.432, 0.750, 0.504)
O (0.568, 0.250, 0.496)
O (0.621, 0.540, 0.244)
O (0.621, 0.960, 0.244)
O (0.631, 0.750, 0.819)
O (0.693, 0.250, 0.015)
O (0.807, 0.750, 0.515)
O (0.869, 0.250, 0.319)
O (0.879, 0.040, 0.744)
O (0.879, 0.460, 0.744)
O (0.932, 0.750, 0.996)

Results
Symmetry   Pnma (62)
Raw total energy   -327.30 eV/cell
Formation energy without anion corrections   -1.8556 eV/atom

=====

Density functional theory data (SCAN) for ZrCo2 at its PBEsol-relaxed geometry.

Cell lengths 4.802, 4.802, 4.802 Å; angles 60.00, 60.00, 60.00 degrees
Fractional positions:
Zr (0.125, 0.125, 0.125)
Zr (0.875, 0.875, 0.875)
Co (0.000, 0.500, 0.500)
Co (0.500, 0.000, 0.500)
Co (0.500, 0.500, 0.000)
Co (0.500, 0.500, 0.500)

Results
Symmetry   Fd-3m (227)
Raw total energy   -132.04 eV/cell
Energy of formation   -0.24 eV/atom

=====

Density functional theory data (SCAN) for LaZrRu2 at its PBEsol-relaxed geometry.

Cell lengths 4.654, 4.654, 4.654 Å; angles 60.00, 60.00, 60.00 degrees
Fractional positions:
La (0.000, 0.000, 0.000)
Zr (0.250, 0.250, 0.250)
Ru (0.500, 0.500, 0.500)
Ru (0.750, 0.750, 0.750)

Results
Symmetry   F-43m (216)
Raw total energy   -143.04 eV/cell
Energy of formation   0.10 eV/atom

=====

Density functional theory data (SCAN) for ZnNi2 at its PBEsol-relaxed geometry.

Cell lengths 4.019, 4.019, 4.802 Å; angles 90.00, 90.00, 120.00 degrees
Fractional positions:
Zn (0.333, 0.667, 0.250)
Zn (0.667, 0.333, 0.750)
Ni (0.000, 0.000, 0.000)
Ni (0.000, 0.000, 0.500)
Ni (0.333, 0.667, 0.750)
Ni (0.667, 0.333, 0.250)

Results
Symmetry   P6_3/mmc (194)
Raw total energy   -91.95 eV/cell
Energy of formation   -0.04 eV/atom

=====

Density functional theory data (SCAN) for Sc2ReTc at its PBEsol-relaxed geometry.

Cell lengths 2.835, 2.835, 8.738 Å; angles 90.00, 90.00, 111.65 degrees
Fractional positions:
Sc (0.000, 0.000, 0.245)
Sc (0.000, 0.000, 0.755)
Re (0.500, 0.500, 0.500)
Tc (0.500, 0.500, 0.000)

Results
Symmetry   Cmmm (65)
Raw total energy   -134.77 eV/cell
Offset from the most stable computed form   0 meV per atom
Energy of formation   -0.03 eV/atom

=====

Density functional theory data (SCAN) for RbCuHg3 at its PBEsol-relaxed geometry.

Cell lengths 5.137, 5.137, 5.137 Å; angles 90.00, 90.00, 90.00 degrees
Fractional positions:
Rb (0.000, 0.000, 0.000)
Cu (0.500, 0.500, 0.500)
Hg (0.000, 0.500, 0.500)
Hg (0.500, 0.000, 0.500)
Hg (0.500, 0.500, 0.000)

Results
Symmetry   Pm-3m (221)
Raw total energy   -241.21 eV/cell
Energy of formation   -0.15 eV/atom

=====

Density functional theory data (SCAN) for PW4Cl11 at its PBEsol-relaxed geometry.

Cell lengths 8.498, 8.498, 11.320 Å; angles 90.70, 90.70, 70.78 degrees
Fractional positions:
P (0.174, 0.174, 0.249)
P (0.826, 0.826, 0.751)
W (0.144, 0.407, 0.127)
W (0.144, 0.407, 0.374)
W (0.407, 0.144, 0.127)
W (0.407, 0.144, 0.374)
W (0.593, 0.856, 0.626)
W (0.593, 0.856, 0.873)
W (0.856, 0.593, 0.626)
W (0.856, 0.593, 0.873)
Cl (0.020, 0.681, 0.017)
Cl (0.020, 0.681, 0.487)
Cl (0.027, 0.027, 0.246)
Cl (0.109, 0.486, 0.751)
Cl (0.259, 0.571, 0.253)
Cl (0.319, 0.980, 0.513)
Cl (0.319, 0.980, 0.983)
Cl (0.372, 0.372, 0.509)
Cl (0.372, 0.372, 0.996)
Cl (0.429, 0.741, 0.747)
Cl (0.486, 0.109, 0.751)
Cl (0.514, 0.891, 0.249)
Cl (0.571, 0.259, 0.253)
Cl (0.628, 0.628, 0.004)
Cl (0.628, 0.628, 0.491)
Cl (0.681, 0.020, 0.017)
Cl (0.681, 0.020, 0.487)
Cl (0.741, 0.429, 0.747)
Cl (0.891, 0.514, 0.249)
Cl (0.973, 0.973, 0.754)
Cl (0.980, 0.319, 0.513)
Cl (0.980, 0.319, 0.983)

Results
Symmetry   C2/m (12)
Raw total energy   -780.67 eV/cell
Formation energy without anion corrections   -0.8394 eV/atom

=====

Density functional theory data (SCAN) for Sr2Si2Br at its PBEsol-relaxed geometry.

Cell lengths 6.236, 6.236, 6.236 Å; angles 124.85, 124.85, 81.79 degrees
Fractional positions:
Sr (0.250, 0.750, 0.500)
Sr (0.750, 0.250, 0.500)
Si (0.114, 0.114, 0.000)
Si (0.886, 0.886, 0.000)
Br (0.500, 0.500, 0.000)

Results
Symmetry   I4/mmm (139)
Raw total energy   -86.60 eV/cell
Formation energy without anion corrections   -0.5125 eV/atom

=====

Density functional theory data (SCAN) for CaP2 at its PBEsol-relaxed geometry.

Cell lengths 8.414, 8.414, 3.868 Å; angles 92.62, 92.62, 25.28 degrees
Fractional positions:
Ca (0.111, 0.111, 0.274)
Ca (0.889, 0.889, 0.726)
P (0.248, 0.248, 0.815)
P (0.466, 0.466, 0.243)
P (0.534, 0.534, 0.757)
P (0.752, 0.752, 0.185)

Results
Symmetry   C2/m (12)
Raw total energy   -65.59 eV/cell
Energy of formation   -0.78 eV/atom

=====

Density functional theory data (SCAN) for HfMg2Tc at its PBEsol-relaxed geometry.

Cell lengths 4.629, 4.629, 4.629 Å; angles 60.00, 60.00, 60.00 degrees
Fractional positions:
Hf (0.000, 0.000, 0.000)
Mg (0.250, 0.250, 0.250)
Mg (0.750, 0.750, 0.750)
Tc (0.500, 0.500, 0.500)

Results
Symmetry   Fm-3m (225)
Raw total energy   -106.23 eV/cell
Energy of formation   0.36 eV/atom

=====

Density functional theory data (SCAN) for BeSbTe at its PBEsol-relaxed geometry.

Cell lengths 4.618, 4.618, 4.618 Å; angles 60.00, 60.00, 60.00 degrees
Fractional positions:
Be (0.000, 0.000, 0.000)
Sb (0.750, 0.750, 0.750)
Te (0.250, 0.250, 0.250)

Results
Symmetry   F-43m (216)
Raw total energy   -77.52 eV/cell
Formation energy without anion corrections   0.4477 eV/atom
Offset from the most stable computed form   85 meV per atom

=====

Density functional theory data (SCAN) for LiCuP3O9 at its PBEsol-relaxed geometry.

Cell lengths 8.954, 7.015, 12.492 Å; angles 90.00, 90.00, 90.00 degrees
Fractional positions:
Li (0.064, 0.250, 0.023)
Li (0.436, 0.750, 0.523)
Li (0.564, 0.250, 0.477)
Li (0.936, 0.750, 0.977)
Cu (0.004, 0.750, 0.776)
Cu (0.496, 0.250, 0.276)
Cu (0.504, 0.750, 0.724)
Cu (0.996, 0.250, 0.224)
P (0.197, 0.250, 0.471)
P (0.240, 0.039, 0.662)
P (0.240, 0.461, 0.662)
P (0.260, 0.539, 0.162)
P (0.260, 0.961, 0.162)
P (0.303, 0.750, 0.971)
P (0.697, 0.250, 0.029)
P (0.740, 0.039, 0.838)
P (0.740, 0.461, 0.838)
P (0.760, 0.539, 0.338)
P (0.760, 0.961, 0.338)
P (0.803, 0.750, 0.529)
O (0.093, 0.250, 0.380)
O (0.116, 0.066, 0.137)
O (0.116, 0.434, 0.137)
O (0.137, 0.541, 0.744)
O (0.137, 0.750, 0.958)
O (0.137, 0.959, 0.744)
O (0.154, 0.073, 0.551)
O (0.154, 0.427, 0.551)
O (0.214, 0.750, 0.200)
O (0.286, 0.250, 0.700)
O (0.346, 0.573, 0.051)
O (0.346, 0.927, 0.051)
O (0.363, 0.041, 0.244)
O (0.363, 0.250, 0.458)
O (0.363, 0.459, 0.244)
O (0.384, 0.566, 0.637)
O (0.384, 0.934, 0.637)
O (0.407, 0.750, 0.880)
O (0.593, 0.250, 0.120)
O (0.616, 0.066, 0.363)
O (0.616, 0.434, 0.363)
O (0.637, 0.541, 0.756)
O (0.637, 0.750, 0.542)
O (0.637, 0.959, 0.756)
O (0.654, 0.073, 0.949)
O (0.654, 0.427, 0.949)
O (0.714, 0.750, 0.300)
O (0.786, 0.250, 0.800)
O (0.846, 0.573, 0.449)
O (0.846, 0.927, 0.449)
O (0.863, 0.041, 0.256)
O (0.863, 0.250, 0.042)
O (0.863, 0.459, 0.256)
O (0.884, 0.566, 0.863)
O (0.884, 0.934, 0.863)
O (0.907, 0.750, 0.620)

Results
Symmetry   Pnma (62)
Raw total energy   -539.76 eV/cell
Formation energy without anion corrections   -2.1481 eV/atom
Offset from the most stable computed form   28 meV per atom

=====

Density functional theory data (SCAN) for Sc2TeSe at its PBEsol-relaxed geometry.

Cell lengths 3.850, 3.850, 5.977 Å; angles 90.00, 90.00, 90.00 degrees
Fractional positions:
Sc (0.000, 0.000, 0.000)
Sc (0.500, 0.500, 0.360)
Te (0.500, 0.500, 0.870)
Se (0.000, 0.000, 0.447)

Results
Symmetry   P4mm (99)
Raw total energy   -91.59 eV/cell
Formation energy without anion corrections   -1.4457 eV/atom
Offset from the most stable computed form   53 meV per atom

=====

Density functional theory data (SCAN) for Na4FeO5 at its PBEsol-relaxed geometry.

Cell lengths 5.567, 9.829, 9.837 Å; angles 113.36, 96.46, 96.34 degrees
Fractional positions:
Na (0.000, 0.000, 0.000)
Na (0.002, 0.402, 0.596)
Na (0.222, 0.135, 0.340)
Na (0.222, 0.345, 0.145)
Na (0.258, 0.956, 0.563)
Na (0.264, 0.564, 0.953)
Na (0.493, 0.305, 0.693)
Na (0.497, 0.104, 0.902)
Na (0.500, 0.500, 0.500)
Na (0.503, 0.896, 0.098)
Na (0.507, 0.695, 0.307)
Na (0.736, 0.436, 0.047)
Na (0.742, 0.044, 0.437)
Na (0.778, 0.655, 0.855)
Na (0.778, 0.865, 0.660)
Na (0.998, 0.598, 0.404)
Fe (0.014, 0.763, 0.207)
Fe (0.298, 0.740, 0.719)
Fe (0.702, 0.260, 0.281)
Fe (0.986, 0.237, 0.793)
O (0.023, 0.347, 0.345)
O (0.093, 0.792, 0.051)
O (0.097, 0.182, 0.618)
O (0.113, 0.596, 0.182)
O (0.175, 0.910, 0.775)
O (0.296, 0.309, 0.894)
O (0.297, 0.895, 0.311)
O (0.372, 0.569, 0.727)
O (0.386, 0.727, 0.551)
O (0.433, 0.152, 0.149)
O (0.567, 0.848, 0.851)
O (0.614, 0.273, 0.449)
O (0.628, 0.431, 0.273)
O (0.703, 0.105, 0.689)
O (0.704, 0.691, 0.106)
O (0.825, 0.090, 0.225)
O (0.887, 0.404, 0.818)
O (0.903, 0.818, 0.382)
O (0.907, 0.208, 0.949)
O (0.977, 0.653, 0.655)

Results
Symmetry   P-1 (2)
Raw total energy   -326.14 eV/cell
Formation energy without anion corrections   -1.5390 eV/atom

=====

Density functional theory data (SCAN) for Pr4CdPt at its PBEsol-relaxed geometry.

Cell lengths 9.908, 9.908, 9.908 Å; angles 60.00, 60.00, 60.00 degrees
Fractional positions:
Pr (0.057, 0.057, 0.443)
Pr (0.057, 0.443, 0.057)
Pr (0.057, 0.443, 0.443)
Pr (0.187, 0.187, 0.813)
Pr (0.187, 0.813, 0.187)
Pr (0.187, 0.813, 0.813)
Pr (0.197, 0.601, 0.601)
Pr (0.443, 0.057, 0.057)
Pr (0.443, 0.057, 0.443)
Pr (0.443, 0.443, 0.057)
Pr (0.601, 0.197, 0.601)
Pr (0.601, 0.601, 0.197)
Pr (0.601, 0.601, 0.601)
Pr (0.813, 0.187, 0.187)
Pr (0.813, 0.187, 0.813)
Pr (0.813, 0.813, 0.187)
Cd (0.512, 0.829, 0.829)
Cd (0.829, 0.512, 0.829)
Cd (0.829, 0.829, 0.512)
Cd (0.829, 0.829, 0.829)
Pt (0.393, 0.393, 0.393)
Pt (0.393, 0.393, 0.820)
Pt (0.393, 0.820, 0.393)
Pt (0.820, 0.393, 0.393)

Results
Symmetry   F-43m (216)
Raw total energy   -1111.63 eV/cell
Energy of formation   -0.67 eV/atom

=====

Density functional theory data (SCAN) for TaCuW at its PBEsol-relaxed geometry.

Cell lengths 5.010, 5.010, 5.010 Å; angles 147.68, 137.01, 54.79 degrees
Fractional positions:
Ta (0.000, 0.000, 0.000)
Cu (0.332, 0.332, 0.000)
W (0.678, 0.678, 0.000)

Results
Symmetry   Imm2 (44)
Raw total energy   -150.55 eV/cell
Offset from the most stable computed form   0 meV per atom
Energy of formation   0.31 eV/atom

=====

Density functional theory data (SCAN) for SrTc2Ag at its PBEsol-relaxed geometry.

Cell lengths 6.400, 6.400, 6.400 Å; angles 38.23, 38.23, 38.23 degrees
Fractional positions:
Sr (0.000, 0.000, 0.000)
Tc (0.199, 0.199, 0.199)
Tc (0.530, 0.530, 0.530)
Ag (0.788, 0.788, 0.788)

Results
Symmetry   R3m (160)
Raw total energy   -122.37 eV/cell
Offset from the most stable computed form   0 meV per atom
Energy of formation   0.35 eV/atom

=====

Density functional theory data (SCAN) for ZrTc2Sb at its PBEsol-relaxed geometry.

Cell lengths 3.065, 4.532, 5.114 Å; angles 90.00, 91.41, 90.00 degrees
Fractional positions:
Zr (0.000, 0.000, 0.000)
Tc (0.340, 0.500, 0.773)
Tc (0.660, 0.500, 0.227)
Sb (0.500, 0.000, 0.500)

Results
Symmetry   P2/m (10)
Raw total energy   -138.08 eV/cell
Formation energy without anion corrections   0.0007 eV/atom

=====

Density functional theory data (SCAN) for Mo2OsPt at its PBEsol-relaxed geometry.

Cell lengths 2.752, 4.434, 4.818 Å; angles 90.00, 90.00, 90.00 degrees
Fractional positions:
Mo (0.000, 0.000, 0.000)
Mo (0.000, 0.500, 0.338)
Os (0.500, 0.500, 0.843)
Pt (0.500, 0.000, 0.497)

Results
Symmetry   Pmm2 (25)
Raw total energy   -212.65 eV/cell
Offset from the most stable computed form   45 meV per atom
Energy of formation   -0.20 eV/atom